# K4Na5Pb2 | Alexandria via LeMat-Bulk | PBE | optimized geometry
# calculated total energy	-1.6923	eV per atom
# calculated density	2.4	g/cm³
# M_tot	0.000	μB per cell
# energy relative to the elements	-19	meV/atom
data_K4Na5Pb2
_cell_length_a 9.451
_cell_length_b 4.146
_cell_length_c 12.270
_cell_angle_alpha 90.00
_cell_angle_beta 93.59
_cell_angle_gamma 90.00
_symmetry_space_group_name_H-M 'P 1 2/m 1'
_symmetry_Int_Tables_number 10
_symmetry_space_group_name_Hall '-P 2y'
loop_
_atom_site_label
_atom_site_fract_x
_atom_site_fract_y
_atom_site_fract_z
K1 0.146 0.000 0.369
K2 0.261 0.000 0.951
Na1 0.212 0.500 0.683
Na2 0.407 0.500 0.204
Na3 0.500 0.500 0.500
Pb1 0.049 0.500 0.129

---

# Er2AgPd3 | Alexandria via LeMat-Bulk | PBE | optimized geometry
# calculated total energy	-5.3402	eV per atom
# calculated density	10.7	g/cm³
# M_tot	0.000	μB per cell
# E above lowest polymorph	0.00	kcal/mol of atoms
# energy relative to the elements	-748	meV/atom
data_Er2AgPd3
_cell_length_a 6.999
_cell_length_b 3.846
_cell_length_c 17.535
_cell_angle_alpha 90.00
_cell_angle_beta 90.00
_cell_angle_gamma 90.00
_symmetry_space_group_name_H-M 'P n m a'
_symmetry_Int_Tables_number 62
_symmetry_space_group_name_Hall '-P 2ac 2n'
loop_
_atom_site_label
_atom_site_fract_x
_atom_site_fract_y
_atom_site_fract_z
Er1 0.178 0.250 0.194
Er2 0.222 0.250 0.410
Ag1 0.063 0.750 0.061
Pd1 0.041 0.250 0.644
Pd2 0.144 0.250 0.797
Pd3 0.148 0.750 0.528

---

# MoPdAu3 | Alexandria via LeMat-Bulk | PBE | optimized geometry
# calculated total energy	-3.8438	eV per atom
# calculated density	10.6	g/cm³
# M_tot	0.000	μB per cell
# E above lowest polymorph	1.80	kcal/mol of atoms
# energy relative to the elements	1327	meV/atom
data_MoPdAu3
_cell_length_a 4.996
_cell_length_b 4.996
_cell_length_c 4.996
_cell_angle_alpha 90.00
_cell_angle_beta 90.00
_cell_angle_gamma 90.00
_symmetry_space_group_name_H-M 'P m -3 m'
_symmetry_Int_Tables_number 221
_symmetry_space_group_name_Hall '-P 4 2 3'
loop_
_atom_site_label
_atom_site_fract_x
_atom_site_fract_y
_atom_site_fract_z
Mo1 0.000 0.000 0.000
Pd1 0.500 0.500 0.500
Au1 0.000 0.000 0.500

---

# Tl2OsRu | Alexandria via LeMat-Bulk | PBE | optimized geometry
# calculated total energy	-5.3588	eV per atom
# calculated density	15.7	g/cm³
# M_tot	1.180	μB per cell
# E above lowest polymorph	10.51	kcal/mol of atoms
# energy relative to the elements	951	meV/atom
data_Tl2OsRu
_cell_length_a 3.1181
_cell_length_b 3.1181
_cell_length_c 26.3159
_cell_angle_alpha 90.00
_cell_angle_beta 90.00
_cell_angle_gamma 120.00
_symmetry_space_group_name_H-M 'R -3 m'
_symmetry_Int_Tables_number 166
_symmetry_space_group_name_Hall '-R 3 2"'
loop_
_atom_site_label
_atom_site_fract_x
_atom_site_fract_y
_atom_site_fract_z
Tl1 0.0000 0.0000 0.2489
Os1 0.0000 0.0000 0.0000
Ru1 0.0000 0.0000 0.5000

---

# GeIrPb2F | Alexandria via LeMat-Bulk | PBE | optimized geometry
# calculated total energy	-4.2978	eV per atom
# calculated density	10.4	g/cm³
# M_tot	0.000	μB per cell
# formation energy from raw total energies	1.3	eV/f.u.
data_GeIrPb2F
_cell_length_a 5.161
_cell_length_b 5.161
_cell_length_c 4.189
_cell_angle_alpha 90.00
_cell_angle_beta 90.00
_cell_angle_gamma 90.00
_symmetry_space_group_name_H-M 'P 4/m m m'
_symmetry_Int_Tables_number 123
_symmetry_space_group_name_Hall '-P 4 2'
loop_
_atom_site_label
_atom_site_fract_x
_atom_site_fract_y
_atom_site_fract_z
Ge1 0.000 0.000 0.000
Ir1 0.500 0.500 0.000
Pb1 0.000 0.500 0.500
F1 0.500 0.500 0.500

---

# Dy2CdPt | Alexandria via LeMat-Bulk | PBE | optimized geometry
# calculated total energy	-4.7666	eV per atom
# calculated density	11.2	g/cm³
# M_tot	0.000	μB per cell
# E above lowest polymorph	1.48	kcal/mol of atoms
# energy relative to the elements	-727	meV/atom
data_Dy2CdPt
_cell_length_a 7.202
_cell_length_b 7.202
_cell_length_c 7.202
_cell_angle_alpha 90.00
_cell_angle_beta 90.00
_cell_angle_gamma 90.00
_symmetry_space_group_name_H-M 'F m -3 m'
_symmetry_Int_Tables_number 225
_symmetry_space_group_name_Hall '-F 4 2 3'
loop_
_atom_site_label
_atom_site_fract_x
_atom_site_fract_y
_atom_site_fract_z
Dy1 0.250 0.250 0.250
Cd1 0.000 0.000 0.000
Pt1 0.000 0.000 0.500